Version w
First-principles (PBE) data for an optimized crystal structure of NaTb2Hg6, as listed in Alexandria.

extended XYZ file:
```
9
Lattice="-2.562 0.706 -4.221 5.643 -4.179 -4.124 -5.649 -2.677 3.022" Properties=species:S:1:pos:R:3 pbc="T T T"
Na 0.000 0.000 0.000
Tb 0.099 -4.145 -3.706
Tb -2.666 -2.005 -1.617
Hg 1.053 -2.622 -1.090
Hg -5.624 -2.045 -2.770
Hg -3.621 -3.528 -4.233
Hg -0.093 -0.527 -2.979
Hg 3.056 -4.105 -2.553
Hg 3.174 -2.946 -5.366
```

Values from the calculation:
**D(E_F)**: 5.1 states/eV/cell
**Size of the total moment**: 0.00 μB per atom

=====

Version x
First-principles (PBE) data for an optimized crystal structure of NaTb2Hg6, as listed in Alexandria.

extended XYZ file:
```
9
Lattice="-0.083 -0.521 3.324 1.145 -8.515 -1.308 6.886 5.209 0.988" Properties=species:S:1:pos:R:3 pbc="T T T"
Na 6.886 5.209 0.988
Tb 4.972 0.634 0.223
Tb 2.976 -4.462 2.782
Hg 2.627 -1.359 1.556
Hg 5.322 -2.468 1.449
Hg 4.557 3.218 2.322
Hg 7.610 -0.738 1.777
Hg 0.339 -3.090 1.228
Hg 2.246 1.470 1.990
```

Values from the calculation:
**D(E_F)**: 4.8 states/eV/cell
**Size of the total moment**: 0.00 μB per atom

=====

Most stable to least stable, the ends of the list are version x and version w.

=====

Version w
First-principles (PBE) data for an optimized crystal structure of NaTbTlHg, as listed in Alexandria.

extended XYZ file:
```
4
Lattice="5.259 0.000 0.000 2.630 4.555 0.000 2.630 1.518 4.294" Properties=species:S:1:pos:R:3 pbc="T T T"
Na 0.000 0.000 0.000
Tl 7.889 4.555 3.221
Tb 5.259 3.037 2.147
Hg 2.630 1.518 1.074
```

Values from the calculation:
**D(E_F)**: 2.5 states/eV/cell
**Size of the total moment**: 0.00 μB per atom

=====

Version x
First-principles (PBE) data for an optimized crystal structure of NaTbTlHg, as listed in Alexandria.

extended XYZ file:
```
4
Lattice="3.748 0.000 0.000 0.000 3.748 0.000 0.000 0.000 7.589" Properties=species:S:1:pos:R:3 pbc="T T T"
Na 0.000 0.000 6.455
Tb 0.000 0.000 2.795
Tl 1.874 1.874 0.813
Hg 1.874 1.874 4.568
```

Values from the calculation:
**D(E_F)**: 2.4 states/eV/cell
**Size of the total moment**: 0.00 μB per atom

=====

Most stable to least stable, the ends of the list are version w and version x.

=====

Version w
First-principles (PBE) data for an optimized crystal structure of Na2HgTe, as listed in Alexandria.

extended XYZ file:
```
4
Lattice="4.995 0.000 0.000 2.498 4.326 0.000 2.498 1.442 6.909" Properties=species:S:1:pos:R:3 pbc="T T T"
Na 2.498 1.442 5.726
Na 2.498 1.442 0.981
Hg 4.995 2.884 3.761
Te 7.493 4.326 6.803
```

Values from the calculation:
**Size of the total moment**: 0.00 μB per atom

=====

Version x
First-principles (PBE) data for an optimized crystal structure of Na2HgTe, as listed in Alexandria.

extended XYZ file:
```
16
Lattice="-7.412 1.154 4.333 -5.723 -1.112 -9.492 2.293 -4.954 5.242" Properties=species:S:1:pos:R:3 pbc="T T T"
Na -5.356 -0.323 2.134
Na -1.101 -4.270 1.804
Na -5.486 -4.589 -2.051
Na -9.741 -0.642 -1.722
Na -8.650 -3.056 0.815
Na -6.600 -2.172 -4.574
Na -2.192 -1.857 -0.732
Na -4.242 -2.740 4.657
Hg -5.990 -1.025 -1.011
Hg 1.456 -3.868 3.825
Hg -4.851 -3.888 1.093
Hg -12.298 -1.044 -3.742
Te -2.481 -1.568 2.331
Te -7.063 -2.544 3.412
Te -8.361 -3.344 -2.248
Te -3.778 -2.368 -3.330
```

Values from the calculation:
**Size of the total moment**: 0.00 μB per atom

=====

Most stable to least stable, the ends of the list are version x and version w.

=====

Version w
First-principles (PBE) data for an optimized crystal structure of Na2HgTe, as listed in Alexandria.

extended XYZ file:
```
4
Lattice="0.000 3.828 3.828 3.828 0.000 3.828 3.828 3.828 0.000" Properties=species:S:1:pos:R:3 pbc="T T T"
Na 1.914 1.914 1.914
Na 5.743 5.743 5.743
Te 0.000 0.000 0.000
Hg 3.828 3.828 3.828
```

Values from the calculation:
**D(E_F)**: 0.0 states/eV/cell
**Size of the total moment**: 0.00 μB per atom

=====

Version x
First-principles (PBE) data for an optimized crystal structure of Na2HgTe, as listed in Alexandria.

extended XYZ file:
```
8
Lattice="6.054 0.000 0.000 0.000 6.054 0.000 3.027 3.027 9.033" Properties=species:S:1:pos:R:3 pbc="T T T"
Na 4.174 1.513 2.258
Na 1.880 4.540 2.258
Na 4.540 4.907 6.775
Na 7.567 7.201 6.775
Te 3.027 3.027 0.000
Te 3.027 6.054 4.517
Hg 0.000 0.000 0.000
Hg 6.054 3.027 4.517
```

Values from the calculation:
**D(E_F)**: 0.0 states/eV/cell
**Size of the total moment**: 0.00 μB per atom

=====

Most stable to least stable, the ends of the list are version w and version x.

=====

Version w
First-principles (PBE) data for an optimized crystal structure of Na2HgTe, as listed in Alexandria.

extended XYZ file:
```
4
Lattice="3.944 0.000 0.000 0.000 3.944 0.000 0.000 0.000 7.696" Properties=species:S:1:pos:R:3 pbc="T T T"
Na 0.000 0.000 6.061
Na 0.000 0.000 1.635
Te 1.972 1.972 0.000
Hg 1.972 1.972 3.848
```

Values from the calculation:
**D(E_F)**: 1.8 states/eV/cell
**Size of the total moment**: 0.00 μB per atom

=====

Version x
First-principles (PBE) data for an optimized crystal structure of Na2HgTe, as listed in Alexandria.

extended XYZ file:
```
4
Lattice="-2.334 3.073 0.303 -2.482 -2.298 4.182 3.500 2.328 3.356" Properties=species:S:1:pos:R:3 pbc="T T T"
Na 1.750 1.164 1.678
Na -1.241 -1.149 2.091
Te -1.167 1.536 0.152
Hg -0.658 1.551 3.921
```

Values from the calculation:
**D(E_F)**: 0.3 states/eV/cell
**Size of the total moment**: 0.00 μB per atom

=====

Most stable to least stable, the ends of the list are version x and version w.

=====

Version w
First-principles (PBE) data for an optimized crystal structure of Na2HgTe2, as listed in Alexandria.

extended XYZ file:
```
10
Lattice="7.052 0.000 0.000 0.000 7.369 0.000 -3.526 -3.685 6.246" Properties=species:S:1:pos:R:3 pbc="T T T"
Na 3.526 2.490 4.670
Na 0.000 1.195 1.576
Na 3.526 6.175 1.576
Na 0.000 -2.490 4.670
Hg 5.289 3.685 0.000
Hg 1.763 3.685 0.000
Te 0.000 1.702 4.660
Te 3.526 1.982 1.585
Te 0.000 5.387 1.585
Te 3.526 -1.702 4.660
```

Values from the calculation:
**Size of the total moment**: 0.00 μB per atom

=====

Version x
First-principles (PBE) data for an optimized crystal structure of Na2HgTe2, as listed in Alexandria.

extended XYZ file:
```
5
Lattice="-0.960 -4.484 0.166 4.456 -0.933 0.571 0.831 -2.217 8.325" Properties=species:S:1:pos:R:3 pbc="T T T"
Na 1.543 -2.598 2.149
Na 2.784 -5.035 6.914
Te 0.810 -4.705 4.430
Te 3.517 -2.929 4.633
Hg 0.000 0.000 0.000
```

Values from the calculation:
**D(E_F)**: 2.4 states/eV/cell
**Size of the total moment**: 0.00 μB per atom

=====

Most stable to least stable, the ends of the list are version w and version x.

=====

Version w
First-principles (PBE) data for an optimized crystal structure of Na2Hg2Te, as listed in Alexandria.

extended XYZ file:
```
10
Lattice="8.101 0.000 0.000 0.000 8.101 0.000 0.000 0.000 4.375" Properties=species:S:1:pos:R:3 pbc="T T T"
Na 1.429 5.479 2.187
Na 5.479 6.673 2.187
Na 6.673 2.622 2.187
Na 2.622 1.429 2.187
Te 0.000 0.000 0.000
Te 4.051 4.051 0.000
Hg 3.021 7.072 0.000
Hg 7.072 5.080 0.000
Hg 5.080 1.030 0.000
Hg 1.030 3.021 0.000
```

Values from the calculation:
**D(E_F)**: 3.5 states/eV/cell
**Size of the total moment**: 0.00 μB per atom

=====

Version x
First-principles (PBE) data for an optimized crystal structure of Na2Hg2Te, as listed in Alexandria.

extended XYZ file:
```
10
Lattice="7.980 0.000 0.000 0.000 7.980 0.000 0.000 0.000 5.078" Properties=species:S:1:pos:R:3 pbc="T T T"
Na 2.664 6.654 0.000
Na 6.654 5.316 0.000
Na 5.316 1.326 0.000
Na 1.326 2.664 0.000
Te 0.000 0.000 0.000
Te 3.990 3.990 0.000
Hg 1.157 5.147 2.539
Hg 5.147 6.823 2.539
Hg 6.823 2.833 2.539
Hg 2.833 1.157 2.539
```

Values from the calculation:
**D(E_F)**: 0.2 states/eV/cell
**Size of the total moment**: 0.00 μB per atom

=====

Most stable to least stable, the ends of the list are version x and version w.

=====

Version w
First-principles (PBE) data for an optimized crystal structure of NaHgTe, as listed in Alexandria.

extended XYZ file:
```
6
Lattice="-1.234 -3.993 -3.154 -0.322 -4.551 2.568 -6.630 1.127 1.167" Properties=species:S:1:pos:R:3 pbc="T T T"
Na -2.528 -3.109 -1.381
Na -5.657 -4.307 1.961
Hg -3.476 -1.712 1.867
Hg -0.161 -2.276 1.284
Te -5.900 -2.859 -0.819
Te -2.285 -4.558 1.399
```

Values from the calculation:
**D(E_F)**: 2.9 states/eV/cell
**Size of the total moment**: 0.00 μB per atom

=====

Version x
First-principles (PBE) data for an optimized crystal structure of NaHgTe, as listed in Alexandria.

extended XYZ file:
```
3
Lattice="4.532 0.000 0.000 0.000 4.776 0.000 0.000 -2.388 4.137" Properties=species:S:1:pos:R:3 pbc="T T T"
Na 3.064 2.388 1.379
Te 1.382 0.000 2.758
Hg 0.087 0.000 0.000
```

Values from the calculation:
**D(E_F)**: 1.7 states/eV/cell
**Size of the total moment**: 0.00 μB per atom

=====

Most stable to least stable, the ends of the list are version w and version x.

=====

Version w
First-principles (PBE) data for an optimized crystal structure of Na2Hg2Te3, as listed in Alexandria.

extended XYZ file:
```
28
Lattice="-0.427 8.035 -1.633 -10.685 3.967 1.364 2.173 6.277 9.362" Properties=species:S:1:pos:R:3 pbc="T T T"
Na -0.489 9.080 0.511
Na -2.332 4.693 0.048
Na -1.663 11.672 5.951
Na -5.614 10.962 3.494
Na -3.326 7.317 5.600
Na -7.277 6.608 3.143
Na -6.607 13.586 9.046
Na -8.450 9.199 8.582
Hg -3.753 7.754 1.422
Hg -0.077 8.645 4.432
Hg -1.459 4.110 3.532
Hg -5.828 3.557 1.538
Hg -3.111 14.722 7.556
Hg -7.480 14.169 5.562
Hg -8.862 9.634 4.661
Hg -5.186 10.525 7.672
Te -2.513 9.652 3.301
Te -6.394 8.913 1.017
Te -4.094 5.312 3.000
Te -0.316 5.948 5.481
Te -0.470 13.841 8.156
Te -8.470 4.438 0.938
Te -8.623 12.331 3.613
Te -4.845 12.967 6.093
Te -10.247 8.029 2.758
Te -2.545 9.366 8.077
Te -6.427 8.627 5.793
Te 1.307 10.250 6.336
```

Values from the calculation:
**Size of the total moment**: 0.00 μB per atom

=====

Version x
First-principles (PBE) data for an optimized crystal structure of Na2Hg2Te3, as listed in Alexandria.

extended XYZ file:
```
7
Lattice="4.628 0.000 0.000 0.000 7.669 -0.613 -2.314 -2.548 7.329" Properties=species:S:1:pos:R:3 pbc="T T T"
Na 0.000 -1.142 5.762
Na 2.314 6.264 0.954
Hg 0.000 1.391 2.516
Hg 2.314 3.731 4.200
Te 0.000 0.000 0.000
Te 0.000 4.328 2.502
Te 2.314 0.794 4.214
```

Values from the calculation:
**Size of the total moment**: 0.00 μB per atom

=====

Most stable to least stable, the ends of the list are version w and version x.

=====

Version w
First-principles (PBE) data for an optimized crystal structure of Na3HgTe, as listed in Alexandria.

extended XYZ file:
```
5
Lattice="-1.662 3.132 4.758 -4.234 -3.995 1.151 3.811 -3.072 3.354" Properties=species:S:1:pos:R:3 pbc="T T T"
Na -2.117 -1.998 0.575
Na 1.905 -1.536 1.677
Na -0.831 1.566 2.379
Te 0.000 0.000 0.000
Hg -1.043 -1.968 4.632
```

Values from the calculation:
**D(E_F)**: 4.9 states/eV/cell
**Size of the total moment**: 0.00 μB per atom

=====

Version x
First-principles (PBE) data for an optimized crystal structure of Na3HgTe, as listed in Alexandria.

extended XYZ file:
```
10
Lattice="-2.642 -3.907 0.386 1.107 -0.026 7.320 -6.987 4.830 1.074" Properties=species:S:1:pos:R:3 pbc="T T T"
Na -1.926 -0.508 3.470
Na 0.032 -1.471 7.129
Na -5.397 -0.995 3.803
Na -6.183 -0.060 7.883
Na -8.139 0.901 4.225
Na -2.711 0.425 7.551
Hg -5.165 1.899 5.662
Hg -2.936 -2.471 5.691
Te -5.661 1.912 2.400
Te -3.553 -2.456 1.634
```

Values from the calculation:
**D(E_F)**: 2.6 states/eV/cell
**Size of the total moment**: 0.00 μB per atom

=====

Most stable to least stable, the ends of the list are version x and version w.

=====

Version w
First-principles (PBE) data for an optimized crystal structure of NaThHg4, as listed in Alexandria.

extended XYZ file:
```
12
Lattice="5.140 0.000 -0.071 0.000 8.029 0.000 -2.529 0.000 8.479" Properties=species:S:1:pos:R:3 pbc="T T T"
Na 1.668 6.022 6.216
Na 0.943 2.007 2.193
Th 0.003 6.022 2.561
Th 2.608 2.007 5.847
Hg 0.013 3.607 4.835
Hg 2.599 7.621 3.573
Hg 0.013 0.408 4.835
Hg 2.599 4.422 3.573
Hg 0.000 4.014 0.000
Hg 0.000 0.000 0.000
Hg 2.535 6.022 0.532
Hg 0.077 2.007 7.876
```

Values from the calculation:
**D(E_F)**: 8.4 states/eV/cell
**Size of the total moment**: 0.00 μB per atom

=====

Version x
First-principles (PBE) data for an optimized crystal structure of NaThHg4, as listed in Alexandria.

extended XYZ file:
```
6
Lattice="3.328 0.000 0.012 0.000 5.062 0.000 -0.029 0.000 8.941" Properties=species:S:1:pos:R:3 pbc="T T T"
Na 1.650 2.531 4.477
Th 1.664 0.000 0.006
Hg -0.015 0.000 5.899
Hg 3.301 2.531 7.427
Hg 3.314 0.000 3.055
Hg -0.002 2.531 1.526
```

Values from the calculation:
**D(E_F)**: 2.2 states/eV/cell
**Size of the total moment**: 0.00 μB per atom

=====

Most stable to least stable, the ends of the list are version x and version w.

=====

Version w
First-principles (PBE) data for an optimized crystal structure of Na3TiHg, as listed in Alexandria.

extended XYZ file:
```
5
Lattice="-1.873 -5.783 -0.446 4.106 -1.653 4.190 -4.097 0.988 4.404" Properties=species:S:1:pos:R:3 pbc="T T T"
Na 2.053 -0.827 2.095
Na -2.048 0.494 2.202
Na -0.937 -2.892 -0.223
Hg -0.932 -3.224 4.074
Ti 0.000 0.000 0.000
```

Values from the calculation:
**D(E_F)**: 13.1 states/eV/cell
**Size of the total moment**: 0.74 μB per atom

=====

Version x
First-principles (PBE) data for an optimized crystal structure of Na3TiHg, as listed in Alexandria.

extended XYZ file:
```
5
Lattice="-3.604 4.261 0.441 -3.711 -3.393 2.460 2.140 1.291 5.009" Properties=species:S:1:pos:R:3 pbc="T T T"
Na -1.855 -1.697 1.230
Na 1.070 0.646 2.504
Na -1.802 2.130 0.221
Hg 0.000 0.000 0.000
Ti -2.587 1.079 3.955
```

Values from the calculation:
**D(E_F)**: 15.6 states/eV/cell
**Size of the total moment**: 0.03 μB per atom

=====

Most stable to least stable, the ends of the list are version x and version w.